! ZnInOs2 | Alexandria | PBE-GGA | optimized geometry; values from VASP
! N(E_F) in states/eV per atom: 0.926
! SG: R-3m (166)
! Formation enthalpy at 0 K in kJ/mol of formula units: 199
! Calculated volume in Å³/atom: 15.8
! E_tot in eV per cell: -24.41
&SYSTEM
  ibrav = 0, nat = 4, ntyp = 3
/
ATOMIC_SPECIES
In 114.82 In.upf
Zn 65.41 Zn.upf
Os 190.23 Os.upf
ATOMIC_POSITIONS crystal
In 0.750 0.750 0.750
Zn 0.250 0.250 0.250
Os 0.996 0.996 0.996
Os 0.504 0.504 0.504
CELL_PARAMETERS angstrom
-8.216 0.137 -3.639
-7.703 -2.684 -3.771
-8.751 -1.527 -1.363